(1)
DFT (GGA-PBE) results for a geometry-optimized BeZnCuTc structure.

Geometry as POSCAR:
```
BeZnCuTc
1.0
0.000 2.906 2.906
2.906 0.000 2.906
2.906 2.906 0.000
Be Zn Cu Tc
1 1 1 1
Direct
0.000 0.000 0.000
0.500 0.500 0.500
0.750 0.750 0.750
0.250 0.250 0.250
```

Values from the calculation:
Space-group type: No. 216
Distance to the lowest polymorph of the same formula (kJ/mol of formula units): 0

(2)
DFT (GGA-PBE) results for a geometry-optimized Tl3Sn3Hg2 structure.

Geometry as POSCAR:
```
Tl3Sn3Hg2
1.0
4.456 0.000 0.000
0.000 4.456 0.000
0.000 0.000 13.810
Tl Sn Hg
3 3 2
Direct
0.000 0.000 0.000
0.000 0.000 0.500
0.500 0.500 0.000
0.500 0.500 0.292
0.500 0.500 0.500
0.500 0.500 0.708
0.000 0.500 0.833
0.500 0.000 0.167
```

Values from the calculation:
Space-group type: No. 115
Energy (eV per atom): -2.188

(3)
DFT (GGA-PBE) results for a geometry-optimized PrGd3C2F2 structure.

Geometry as POSCAR:
```
PrGd3C2F2
1.0
3.562 0.000 0.000
-1.781 3.085 0.000
0.000 0.000 12.598
Pr Gd C F
1 3 2 2
Direct
0.000 0.000 0.000
0.000 0.000 0.288
0.667 0.333 0.500
0.667 0.333 0.782
0.333 0.667 0.395
0.333 0.667 0.881
0.000 0.000 0.637
0.667 0.333 0.159
```

Values from the calculation:
Space-group type: No. 156
Energy (eV per atom): -6.590

(4)
DFT (GGA-PBE) results for a geometry-optimized Cs2Hg2O3 structure.

Geometry as POSCAR:
```
Cs2Hg2O3
1.0
3.412 1.970 4.904
-3.412 1.970 4.904
0.000 -3.940 4.904
Cs Hg O
2 2 3
Direct
0.000 0.000 0.000
0.500 0.500 0.500
0.225 0.225 0.225
0.775 0.775 0.775
0.000 0.000 0.500
0.000 0.500 0.000
0.500 0.000 0.000
```

Values from the calculation:
Space-group type: No. 166
Distance to the lowest polymorph of the same formula (kJ/mol of formula units): 185